First-principles (GGA-PBE) data for a relaxed NpAlFe2H8 crystal, as listed in the Alexandria database.

Properties
Total DFT energy (no corrections) in eV for the cell shown: -59.24

Lattice parameters (Å, degrees): 4.618 4.618 6.018 90.00 90.00 120.00
Atoms (fractional coordinates):
Np  0.000  0.000  0.500
H  0.163  0.837  0.808
H  0.325  0.163  0.192
H  0.163  0.325  0.808
H  0.837  0.163  0.192
H  0.837  0.675  0.192
H  0.675  0.837  0.808
H  0.667  0.333  0.642
H  0.333  0.667  0.358
Al  0.000  0.000  0.000
Fe  0.667  0.333  0.379
Fe  0.333  0.667  0.621